[1]
The following is a DFT calculation (GGA-PBE) of a relaxed structure of Sm6Te3As2Se.

```
12
Lattice="9.5076 -2.1412 0.0000 9.5076 2.1412 0.0000 -2.2708 0.0000 8.4428" Properties=species:S:1:pos:R:3 pbc="T T T"
Sm -0.3685 0.0000 1.9989
Sm 5.2099 0.0000 3.6649
Sm 4.3780 0.0000 7.5651
Sm 12.3664 0.0000 0.8777
Sm 11.5345 0.0000 4.7779
Sm 17.1129 0.0000 6.4439
Te 1.2489 0.0000 7.0322
Te 8.3722 0.0000 4.2214
Te 15.4955 0.0000 1.4106
As 2.4141 0.0000 2.8104
As 14.3303 0.0000 5.6325
Se 9.5076 0.0000 0.0000
```

Final energy = -5.7782 eV per atom
DOS(E_F) = 4.6 states/eV/cell
Volume = 28.646 A^3/atom

---

[2]
The following is a DFT calculation (GGA-PBE) of a relaxed structure of Sm4TeAsSe2.

```
8
Lattice="7.3119 0.0000 0.0000 0.0000 4.2331 0.0000 -2.4505 0.0000 7.0602" Properties=species:S:1:pos:R:3 pbc="T T T"
Sm 1.1826 0.0000 1.5828
Sm -0.0415 2.1165 5.4301
Sm 4.9029 2.1165 1.6300
Sm 3.6788 0.0000 5.4774
Te 2.4307 2.1165 3.5301
As 3.6559 0.0000 0.0000
Se -1.2252 0.0000 3.5301
Se 0.0000 2.1165 0.0000
```

Final energy = -5.8680 eV per atom
DOS(E_F) = 3.4 states/eV/cell
Volume = 27.315 A^3/atom

---

[3]
The following is a DFT calculation (GGA-PBE) of a relaxed structure of SmTh2As2Se2.

```
7
Lattice="-2.7097 2.7097 7.3899 2.7097 -2.7097 7.3899 2.7097 2.7097 -7.3899" Properties=species:S:1:pos:R:3 pbc="T T T"
Sm 0.0000 0.0000 0.0000
Th 0.0000 0.0000 5.6821
Th 0.0000 0.0000 9.0977
As 2.7097 0.0000 0.0000
As 0.0000 2.7097 0.0000
Se 0.0000 0.0000 2.8888
Se 0.0000 0.0000 11.8910
```

Final energy = -6.1320 eV per atom
DOS(E_F) = 3.8 states/eV/cell
Volume = 31.005 A^3/atom

---

[4]
The following is a DFT calculation (GGA-PBE) of a relaxed structure of Sm2ThAs2Se2.

```
7
Lattice="-2.7975 2.7975 7.2747 2.7975 -2.7975 7.2747 2.7975 2.7975 -7.2747" Properties=species:S:1:pos:R:3 pbc="T T T"
Sm 0.0000 0.0000 1.7135
Sm 0.0000 0.0000 12.8358
Th 0.0000 0.0000 7.2747
As 2.7975 0.0000 0.0000
As 0.0000 2.7975 0.0000
Se 0.0000 0.0000 4.4088
Se 0.0000 0.0000 10.1405
```

Final energy = -5.8399 eV per atom
DOS(E_F) = 0.9 states/eV/cell
Volume = 32.532 A^3/atom

---

[5]
The following is a DFT calculation (GGA-PBE) of a relaxed structure of Sm4Tl2AsSe.

```
8
Lattice="7.1059 0.0000 0.0000 0.0000 4.0947 0.0000 -2.3622 0.0000 7.9560" Properties=species:S:1:pos:R:3 pbc="T T T"
Sm 1.1603 0.0000 1.7203
Sm -0.0280 2.0473 6.2098
Sm 4.7717 2.0473 1.7463
Sm 3.5834 0.0000 6.2358
Tl -1.1811 0.0000 3.9780
Tl 2.3718 2.0473 3.9780
As 0.0000 2.0473 0.0000
Se 3.5530 0.0000 0.0000
```

Final energy = -4.9757 eV per atom
DOS(E_F) = 4.0 states/eV/cell
Volume = 28.936 A^3/atom

---

[6]
The following is a DFT calculation (GGA-PBE) of a relaxed structure of Sm4TlAsSe2.

```
8
Lattice="7.4240 0.0000 0.0000 0.0000 4.1991 0.0000 -2.4065 0.0000 7.0550" Properties=species:S:1:pos:R:3 pbc="T T T"
Sm 1.2261 0.0000 1.6777
Sm 0.0632 2.0996 5.3603
Sm 4.9543 2.0996 1.6946
Sm 3.7915 0.0000 5.3772
Tl 2.5088 2.0996 3.5275
As 3.7120 0.0000 0.0000
Se -1.2032 0.0000 3.5275
Se 0.0000 2.0996 0.0000
```

Final energy = -5.4710 eV per atom
DOS(E_F) = 3.3 states/eV/cell
Volume = 27.492 A^3/atom